This record from Alexandria via LeMat-Bulk describes a relaxed structure of Cs2TlCd2Au. The functional is PBE.

Summary:
Formation enthalpy at 0 K, kJ/mol of formula units: -74
Density, g cm⁻³: 5.9

abc: 7.754 16.504 7.788
angles: 90.00 90.00 90.00
Space group Ibam (No. 72)
Asymmetric unit:
1 Cs 0.233 0.165 0.000 [8 per cell]
2 Tl 0.000 0.500 0.250 [4 per cell]
3 Cd 0.225 0.075 0.500 [8 per cell]
4 Au 0.000 0.000 0.250 [4 per cell]

=====

This record from Alexandria via LeMat-Bulk describes a relaxed structure of InBi3Se. The functional is PBE.

Summary:
Density, g cm⁻³: 7.2
DFT total energy, eV per atom: -2.770

abc: 5.731 5.731 5.731
angles: 90.00 90.00 90.00
Space group Pm-3m (No. 221)
Asymmetric unit:
1 In 0.000 0.000 0.000 [1 per cell]
2 Bi 0.000 0.000 0.500 [3 per cell]
3 Se 0.500 0.500 0.500 [1 per cell]

=====

This record from Alexandria via LeMat-Bulk describes a relaxed structure of AlTe2Br. The functional is PBE.

Summary:
Density, g cm⁻³: 4.6
DFT total energy, eV per atom: -2.883

abc: 4.246 4.246 7.246
angles: 90.00 90.00 90.00
Space group P4/mmm (No. 123)
Asymmetric unit:
1 Al 0.000 0.000 0.000 [1 per cell]
2 Te 0.000 0.500 0.500 [2 per cell]
3 Br 0.500 0.500 0.000 [1 per cell]

=====

This record from Alexandria via LeMat-Bulk describes a relaxed structure of AcPmMgCd. The functional is PBE.

Summary:
Formation enthalpy at 0 K, kJ/mol of formula units: -74
Density, g cm⁻³: 6.7

abc: 3.969 3.969 7.956
angles: 90.00 90.00 90.00
Space group P4mm (No. 99)
Asymmetric unit:
1 Ac 0.000 0.000 0.000 [1 per cell]
2 Pm 0.000 0.000 0.497 [1 per cell]
3 Mg 0.500 0.500 0.725 [1 per cell]
4 Cd 0.500 0.500 0.279 [1 per cell]

=====

This record from Alexandria via LeMat-Bulk describes a relaxed structure of Li2CdGe. The functional is PBE.

Summary:
Formation enthalpy at 0 K, kJ/mol of formula units: -66
Density, g cm⁻³: 4.6

abc: 3.0234 3.0234 27.3698
angles: 90.00 90.00 120.00
Space group R3m (No. 160, hexagonal axes)
Asymmetric unit:
1 Li 0.0000 0.0000 0.0000 [3 per cell]
2 Li 0.0000 0.0000 0.1801 [3 per cell]
3 Cd 0.0000 0.0000 0.7556 [3 per cell]
4 Ge 0.0000 0.0000 0.5903 [3 per cell]

=====

This record from Alexandria via LeMat-Bulk describes a relaxed structure of Pm2TlSn3Te6. The functional is PBE.

Summary:
Density, g cm⁻³: 6.6
DFT total energy, eV per atom: -4.226

abc: 19.942 4.481 9.339
angles: 90.00 104.33 90.00
Space group C2/m (No. 12)
Asymmetric unit:
1 Pm 0.169 0.000 0.347 [4 per cell]
2 Tl 0.000 0.500 0.000 [2 per cell]
3 Sn 0.000 0.500 0.500 [2 per cell]
4 Sn 0.158 0.000 0.847 [4 per cell]
5 Te 0.007 0.000 0.268 [4 per cell]
6 Te 0.167 0.500 0.592 [4 per cell]
7 Te 0.178 0.500 0.103 [4 per cell]

=====

This record from Alexandria via LeMat-Bulk describes a relaxed structure of La2ZnHg2. The functional is PBE.

Summary:
Formation enthalpy at 0 K, kJ/mol of formula units: -108
Density, g cm⁻³: 8.2

abc: 8.907 8.907 3.823
angles: 90.00 90.00 90.00
Space group P4/mbm (No. 127)
Asymmetric unit:
1 La 0.171 0.329 0.000 [4 per cell]
2 Zn 0.000 0.000 0.000 [2 per cell]
3 Hg 0.128 0.628 0.500 [4 per cell]

=====

This record from Alexandria via LeMat-Bulk describes a relaxed structure of CeBeP. The functional is PBE.

Summary:
Formation enthalpy at 0 K, kJ/mol of formula units: -276
Density, g cm⁻³: 5.9

abc: 3.7060 3.7060 4.2844
angles: 90.00 90.00 120.00
Space group P-6m2 (No. 187)
Asymmetric unit:
1 Ce 0.0000 0.0000 0.0000 [1 per cell]
2 Be 0.6667 0.3333 0.5000 [1 per cell]
3 P 0.3333 0.6667 0.5000 [1 per cell]

=====

This record from Alexandria via LeMat-Bulk describes a relaxed structure of CaZn6Cu2. The functional is PBE.

Summary:
Formation enthalpy at 0 K, kJ/mol of formula units: 197
Density, g cm⁻³: 4.9

abc: 11.501 11.501 11.501
angles: 90.00 90.00 90.00
Space group Fd-3m (No. 227, origin choice 2)
Asymmetric unit:
1 Ca 0.125 0.125 0.125 [8 per cell]
2 Zn 0.108 0.375 0.875 [48 per cell]
3 Cu 0.000 0.000 0.500 [16 per cell]

=====

This record from Alexandria via LeMat-Bulk describes a relaxed structure of PmDyTlZn. The functional is PBE.

Summary:
Formation enthalpy at 0 K, kJ/mol of formula units: -126
Density, g cm⁻³: 9.1

abc: 7.490 7.490 7.490
angles: 90.00 90.00 90.00
Space group F-43m (No. 216)
Asymmetric unit:
1 Pm 0.000 0.000 0.000 [4 per cell]
2 Dy 0.000 0.000 0.500 [4 per cell]
3 Tl 0.250 0.250 0.250 [4 per cell]
4 Zn 0.250 0.250 0.750 [4 per cell]

=====

This record from Alexandria via LeMat-Bulk describes a relaxed structure of KTlCdHg. The functional is PBE.

Summary:
Formation enthalpy at 0 K, kJ/mol of formula units: -33
Density, g cm⁻³: 7.6

abc: 7.874 7.874 7.874
angles: 90.00 90.00 90.00
Space group F-43m (No. 216)
Asymmetric unit:
1 K 0.000 0.000 0.000 [4 per cell]
2 Tl 0.000 0.000 0.500 [4 per cell]
3 Cd 0.250 0.250 0.750 [4 per cell]
4 Hg 0.250 0.250 0.250 [4 per cell]

=====

This record from Alexandria via LeMat-Bulk describes a relaxed structure of PtCSe2N. The functional is PBE.

Summary:
Density, g cm⁻³: 7.6
DFT total energy, eV per atom: -5.225

abc: 5.779 5.779 2.493
angles: 90.00 90.00 90.00
Space group P4/mmm (No. 123)
Asymmetric unit:
1 Pt 0.000 0.000 0.000 [1 per cell]
2 C 0.500 0.500 0.500 [1 per cell]
3 Se 0.000 0.500 0.500 [2 per cell]
4 N 0.500 0.500 0.000 [1 per cell]

=====

Question: Which of these has the highest density?
Answer: PmDyTlZn

=====

Question: Which of these has the highest density?
Answer: PmDyTlZn